# SnAsPd2

A geometry-optimized SnAsPd2 structure (PBE-GGA, the Alexandria database).

## Properties
DOS(E_F) (states/eV/f.u.): 1.7
Offset from the most stable computed form (meV per atom): 112

The structure in CIF format:
```
data_SnAsPd2
_chemical_formula_sum 'Sn4 As4 Pd8'
_cell_length_a 7.1384
_cell_length_b 4.8059
_cell_length_c 9.1270
_cell_angle_alpha 90.00
_cell_angle_beta 90.00
_cell_angle_gamma 90.00
_symmetry_space_group_name_H-M 'P n m a'
_symmetry_Int_Tables_number 62
_symmetry_space_group_name_Hall '-P 2ac 2n'
loop_
_atom_site_label
_atom_site_fract_x
_atom_site_fract_y
_atom_site_fract_z
_atom_site_occupancy
Sn1 0.0978 0.2500 0.1662 1
As1 0.0680 0.7500 0.3918 1
Pd1 0.0743 0.2500 0.8713 1
Pd2 0.2230 0.2500 0.4442 1
```

# Sn2AsPd4

A geometry-optimized Sn2AsPd4 structure (PBE-GGA, the Alexandria database).

## Properties
DOS(E_F) (states/eV/f.u.): 2.9
Offset from the most stable computed form (meV per atom): 328

The structure in CIF format:
```
data_Sn2AsPd4
_chemical_formula_sum 'Sn4 As2 Pd8'
_cell_length_a 4.7204
_cell_length_b 4.7204
_cell_length_c 13.5642
_cell_angle_alpha 90.00
_cell_angle_beta 90.00
_cell_angle_gamma 90.00
_symmetry_space_group_name_H-M 'I 4/m m m'
_symmetry_Int_Tables_number 139
_symmetry_space_group_name_Hall '-I 4 2'
loop_
_atom_site_label
_atom_site_fract_x
_atom_site_fract_y
_atom_site_fract_z
_atom_site_occupancy
Sn1 0.0000 0.0000 0.1310 1
As1 0.0000 0.0000 0.5000 1
Pd1 0.0000 0.0000 0.3234 1
Pd2 0.0000 0.5000 0.0000 1
```

# SnAsPd2

A geometry-optimized SnAsPd2 structure (PBE-GGA, the Alexandria database).

## Properties
DOS(E_F) (states/eV/f.u.): 1.9
Offset from the most stable computed form (meV per atom): 148

The structure in CIF format:
```
data_SnAsPd2
_chemical_formula_sum 'Sn3 As3 Pd6'
_cell_length_a 4.1735
_cell_length_b 4.1735
_cell_length_c 15.3820
_cell_angle_alpha 90.00
_cell_angle_beta 90.00
_cell_angle_gamma 120.00
_symmetry_space_group_name_H-M 'R 3 m'
_symmetry_Int_Tables_number 160
_symmetry_space_group_name_Hall 'R 3 -2"'
loop_
_atom_site_label
_atom_site_fract_x
_atom_site_fract_y
_atom_site_fract_z
_atom_site_occupancy
Sn1 0.0000 0.0000 0.0000 1
As1 0.0000 0.0000 0.1832 1
Pd1 0.0000 0.0000 0.5744 1
Pd2 0.0000 0.0000 0.7694 1
```

# Sn3AsPd4

A geometry-optimized Sn3AsPd4 structure (PBE-GGA, the Alexandria database).

## Properties
DOS(E_F) (states/eV/f.u.): 2.0

The structure in CIF format:
```
data_Sn3AsPd4
_chemical_formula_sum 'Sn6 As2 Pd8'
_cell_length_a 5.1554
_cell_length_b 6.6980
_cell_length_c 9.4744
_cell_angle_alpha 90.00
_cell_angle_beta 90.00
_cell_angle_gamma 90.00
_symmetry_space_group_name_H-M 'P m m n'
_symmetry_Int_Tables_number 59
loop_
_symmetry_equiv_pos_as_xyz
'x,y,z'
'-x,-y,-z'
'-x+1/2,-y+1/2,z'
'x+1/2,y+1/2,-z'
'x+1/2,-y,-z'
'-x+1/2,y,z'
'-x,y+1/2,-z'
'x,-y+1/2,z'
loop_
_atom_site_label
_atom_site_fract_x
_atom_site_fract_y
_atom_site_fract_z
_atom_site_occupancy
Sn1 0.2500 0.0011 0.1888 1
Sn2 0.2500 0.7500 0.6893 1
As1 0.2500 0.2500 0.6876 1
Pd1 0.2500 0.0242 0.9070 1
Pd2 0.2500 0.2500 0.4228 1
Pd3 0.2500 0.7500 0.4087 1
```

# Sn3AsPd12

A geometry-optimized Sn3AsPd12 structure (PBE-GGA, the Alexandria database).

## Properties
DOS(E_F) (states/eV/f.u.): 3.5

The structure in CIF format:
```
data_Sn3AsPd12
_chemical_formula_sum 'Sn3 As1 Pd12'
_cell_length_a 4.0246
_cell_length_b 4.0246
_cell_length_c 16.0448
_cell_angle_alpha 90.00
_cell_angle_beta 90.00
_cell_angle_gamma 90.00
_symmetry_space_group_name_H-M 'P 4/m m m'
_symmetry_Int_Tables_number 123
_symmetry_space_group_name_Hall '-P 4 2'
loop_
_atom_site_label
_atom_site_fract_x
_atom_site_fract_y
_atom_site_fract_z
_atom_site_occupancy
Sn1 0.0000 0.0000 0.0000 1
Sn2 0.0000 0.0000 0.2517 1
As1 0.0000 0.0000 0.5000 1
Pd1 0.0000 0.5000 0.1266 1
Pd2 0.0000 0.5000 0.3795 1
Pd3 0.5000 0.5000 0.0000 1
Pd4 0.5000 0.5000 0.2537 1
Pd5 0.5000 0.5000 0.5000 1
```

# SnAsPd2

A geometry-optimized SnAsPd2 structure (PBE-GGA, the Alexandria database).

## Properties
DOS(E_F) (states/eV/f.u.): 1.5
Offset from the most stable computed form (meV per atom): 140

The structure in CIF format:
```
data_SnAsPd2
_chemical_formula_sum 'Sn1 As1 Pd2'
_cell_length_a 3.2668
_cell_length_b 3.2668
_cell_length_c 6.6629
_cell_angle_alpha 90.00
_cell_angle_beta 90.00
_cell_angle_gamma 90.00
_symmetry_space_group_name_H-M 'P 4/m m m'
_symmetry_Int_Tables_number 123
_symmetry_space_group_name_Hall '-P 4 2'
loop_
_atom_site_label
_atom_site_fract_x
_atom_site_fract_y
_atom_site_fract_z
_atom_site_occupancy
Sn1 0.0000 0.0000 0.0000 1
As1 0.0000 0.0000 0.5000 1
Pd1 0.5000 0.5000 0.2721 1
```

Going through the records in order, we get V values of 313.11 302.23 232.03 327.16 259.89 71.11 Å³ per cell.
Going through the records in order, we get DFT total energy values of -5.07 -4.84 -5.03 -5.01 -5.36 -5.04 eV/atom.